A plane-wave DFT calculation with PBE was carried out for a relaxed Ti3TlGe crystal.

Cell and atoms, written as CIF:
```
data_Ti3TlGe
_chemical_formula_sum 'Ti3 Tl1 Ge1'
_cell_length_a 4.738
_cell_length_b 4.738
_cell_length_c 4.738
_cell_angle_alpha 90.00
_cell_angle_beta 90.00
_cell_angle_gamma 90.00
_symmetry_space_group_name_H-M 'P m -3 m'
_symmetry_Int_Tables_number 221
_symmetry_space_group_name_Hall '-P 4 2 3'
loop_
_atom_site_label
_atom_site_type_symbol
_atom_site_fract_x
_atom_site_fract_y
_atom_site_fract_z
Ti1 Ti 0.000 0.000 0.500
Tl1 Tl 0.500 0.500 0.500
Ge1 Ge 0.000 0.000 0.000
```

Properties
ΔE to the lowest computed polymorph   0.000 eV/atom
Calculated volume   21.275 Å³ per atom
DFT formation energy   249.2 meV/atom